The following is a GGA-PBE calculation of a geometry-optimized Tb4Sm9Hg11 structure, from Alexandria via LeMat-Bulk.

The structure belongs to space group Cmmm (No. 65); the cell edges are 15.833, 23.092 and 3.588 Å and the angles 90.00°, 90.00° and 90.00°. The asymmetric unit holds Tb at (0.157, 0.091, 0.000), Sm at (0.000, 0.000, 0.000), Sm at (0.114, 0.239, 0.000), Sm at (0.119, 0.413, 0.000), Hg at (0.000, 0.132, 0.500), Hg at (0.000, 0.328, 0.500), Hg at (0.000, 0.500, 0.500), Hg at (0.235, 0.322, 0.500) and Hg at (0.244, 0.500, 0.500).

Its formation energy is -379 meV/atom. For the density of states at the Fermi level, the calculation gives 24.34 states/eV/f.u.

The following is a GGA-PBE calculation of a geometry-optimized TbSm5Hg6 structure, from Alexandria via LeMat-Bulk.

The structure belongs to space group Cmmm (No. 65); the cell edges are 5.331, 16.021 and 7.620 Å and the angles 90.00°, 90.00° and 90.00°. The asymmetric unit holds Tb at (0.000, 0.000, 0.000), Sm at (0.000, 0.000, 0.500), Sm at (0.000, 0.332, 0.500), Sm at (0.000, 0.333, 0.000), Hg at (0.000, 0.165, 0.248) and Hg at (0.000, 0.500, 0.246).

Its formation energy is -473 meV/atom. For the density of states at the Fermi level, the calculation gives 15.06 states/eV/f.u.

The following is a GGA-PBE calculation of a geometry-optimized Tb4Sm5Hg4 structure, from Alexandria via LeMat-Bulk.

The structure belongs to space group I4/m (No. 87); the cell edges are 12.162, 12.162 and 5.201 Å and the angles 90.00°, 90.00° and 90.00°. The asymmetric unit holds Tb at (0.098, 0.606, 0.000), Sm at (0.000, 0.000, 0.000), Sm at (0.118, 0.816, 0.500) and Hg at (0.096, 0.240, 0.000).

Its formation energy is -318 meV/atom. For the density of states at the Fermi level, the calculation gives 10.75 states/eV/f.u.

The following is a GGA-PBE calculation of a geometry-optimized TbSmHg structure, from Alexandria via LeMat-Bulk.

The structure belongs to space group Cm (No. 8); the cell edges are 9.058, 5.220 and 8.140 Å and the angles 90.00°, 111.80° and 90.00°. The asymmetric unit holds Tb at (0.000, 0.000, 0.000), Tb at (0.165, 0.000, 0.493), Sm at (0.079, 0.500, 0.736), Sm at (0.245, 0.500, 0.231), Hg at (0.304, 0.000, 0.912) and Hg at (0.441, 0.000, 0.321).

Its formation energy is -197 meV/atom. For the density of states at the Fermi level, the calculation gives 3.05 states/eV/f.u. The energy above the most stable polymorph in this dataset comes out at 150 meV per atom.

The following is a GGA-PBE calculation of a geometry-optimized Tb3SmHg6 structure, from Alexandria via LeMat-Bulk.

The structure belongs to space group P2_1/m (No. 11); the cell edges are 9.236, 5.186 and 11.204 Å and the angles 90.00°, 106.81° and 90.00°. The asymmetric unit holds Tb at (0.012, 0.250, 0.386), Tb at (0.147, 0.750, 0.199), Tb at (0.271, 0.250, 0.994), Sm at (0.435, 0.250, 0.613), Hg at (0.036, 0.750, 0.909), Hg at (0.147, 0.250, 0.706), Hg at (0.252, 0.750, 0.485), Hg at (0.332, 0.250, 0.311), Hg at (0.360, 0.750, 0.798) and Hg at (0.437, 0.750, 0.098).

Its formation energy is -436 meV/atom. For the density of states at the Fermi level, the calculation gives 6.95 states/eV/f.u.

The following is a GGA-PBE calculation of a geometry-optimized TbSm4Hg2 structure, from Alexandria via LeMat-Bulk.

The structure belongs to space group R-3m (No. 166, hexagonal axes); the cell edges are 5.1900, 5.1900 and 30.2562 Å and the angles 90.00°, 90.00° and 120.00°. The asymmetric unit holds Tb at (0.0000, 0.0000, 0.0000), Sm at (0.0000, 0.0000, 0.2052), Sm at (0.0000, 0.0000, 0.3887) and Hg at (0.0000, 0.0000, 0.1007).

Its formation energy is 41 meV/atom. For the density of states at the Fermi level, the calculation gives 11.84 states/eV/f.u.

The following is a GGA-PBE calculation of a geometry-optimized TbSmHg4 structure, from Alexandria via LeMat-Bulk.

The structure belongs to space group F-43m (No. 216); the cell edges are 8.453, 8.453 and 8.453 Å and the angles 90.00°, 90.00° and 90.00°. The asymmetric unit holds Tb at (0.000, 0.000, 0.000), Sm at (0.250, 0.250, 0.750) and Hg at (0.125, 0.125, 0.375).

Its formation energy is -229 meV/atom. For the density of states at the Fermi level, the calculation gives 4.51 states/eV/f.u. The energy above the most stable polymorph in this dataset comes out at 121 meV per atom.

The following is a GGA-PBE calculation of a geometry-optimized Tb2Sm2Hg5 structure, from Alexandria via LeMat-Bulk.

The structure belongs to space group Cmce (No. 64); the cell edges are 16.138, 8.444 and 7.494 Å and the angles 90.00°, 90.00° and 90.00°. The asymmetric unit holds Tb at (0.000, 0.165, 0.148), Sm at (0.195, 0.000, 0.500), Hg at (0.000, 0.000, 0.500) and Hg at (0.139, 0.156, 0.863).

Its formation energy is -334 meV/atom. For the density of states at the Fermi level, the calculation gives 7.23 states/eV/f.u.

The following is a GGA-PBE calculation of a geometry-optimized Tb2SmHg2 structure, from Alexandria via LeMat-Bulk.

The structure belongs to space group P-3m1 (No. 164); the cell edges are 5.2137, 5.2137 and 6.3697 Å and the angles 90.00°, 90.00° and 120.00°. The asymmetric unit holds Tb at (0.3333, 0.6667, 0.1576), Sm at (0.0000, 0.0000, 0.5000) and Hg at (0.3333, 0.6667, 0.6733).

Its formation energy is -237 meV/atom. For the density of states at the Fermi level, the calculation gives 6.67 states/eV/f.u. The energy above the most stable polymorph in this dataset comes out at 147 meV per atom.

The following is a GGA-PBE calculation of a geometry-optimized Tb3SmHg4 structure, from Alexandria via LeMat-Bulk.

The structure belongs to space group Immm (No. 71); the cell edges are 3.625, 7.509 and 16.716 Å and the angles 90.00°, 90.00° and 90.00°. The asymmetric unit holds Tb at (0.000, 0.000, 0.000), Tb at (0.000, 0.500, 0.205), Sm at (0.000, 0.000, 0.500) and Hg at (0.000, 0.296, 0.369).

Its formation energy is -322 meV/atom. For the density of states at the Fermi level, the calculation gives 7.86 states/eV/f.u. The energy above the most stable polymorph in this dataset comes out at 155 meV per atom.

The following is a GGA-PBE calculation of a geometry-optimized TbSmTcHg structure, from Alexandria via LeMat-Bulk.

The structure belongs to space group F-43m (No. 216); the cell edges are 7.210, 7.210 and 7.210 Å and the angles 90.00°, 90.00° and 90.00°. The asymmetric unit holds Tb at (0.000, 0.000, 0.000), Sm at (0.000, 0.000, 0.500), Tc at (0.250, 0.250, 0.750) and Hg at (0.250, 0.250, 0.250).

Its formation energy is -108 meV/atom. For the density of states at the Fermi level, the calculation gives 2.87 states/eV/f.u.

The following is a GGA-PBE calculation of a geometry-optimized Tb3Sm3TlHg2 structure, from Alexandria via LeMat-Bulk.

The structure belongs to space group P-62m (No. 189); the cell edges are 8.9215, 8.9215 and 3.8244 Å and the angles 90.00°, 90.00° and 120.00°. The asymmetric unit holds Tb at (0.0000, 0.3847, 0.0000), Sm at (0.0000, 0.7113, 0.5000), Tl at (0.0000, 0.0000, 0.0000) and Hg at (0.3333, 0.6667, 0.5000).

Its formation energy is -244 meV/atom. For the density of states at the Fermi level, the calculation gives 12.25 states/eV/f.u.

Number 1: final energy -3.059 eV/atom, magnetization 2.69 μB per cell. Number 2: final energy -2.976 eV/atom, magnetization 4.55 μB per cell. Number 3: final energy -3.651 eV/atom, magnetization 0.00 μB per cell. Number 4: final energy -3.414 eV/atom, magnetization 0.00 μB per cell. Number 5: final energy -2.478 eV/atom, magnetization 0.00 μB per cell. Number 6: final energy -3.403 eV/atom, magnetization 0.81 μB per cell. Number 7: final energy -1.989 eV/atom, magnetization 0.00 μB per cell. Number 8: final energy -2.579 eV/atom, magnetization 0.00 μB per cell. Number 9: final energy -3.154 eV/atom, magnetization 0.75 μB per cell. Number 10: final energy -2.800 eV/atom, magnetization 0.00 μB per cell. Number 11: final energy -5.112 eV/atom, magnetization 0.00 μB per cell. Number 12: final energy -3.690 eV/atom, magnetization 0.00 μB per cell.